Version i
# Sr4BrN2 (PBE-GGA, relaxed)
data_Sr4BrN2
_symmetry_space_group_name_H-M 'R -3 m'
_symmetry_Int_Tables_number 166
_symmetry_space_group_name_Hall '-R 3 2"'
_cell_length_a 3.9117
_cell_length_b 3.9117
_cell_length_c 43.3109
_cell_angle_alpha 90.00
_cell_angle_beta 90.00
_cell_angle_gamma 120.00
loop_
_atom_site_label
_atom_site_fract_x
_atom_site_fract_y
_atom_site_fract_z
Sr1 0.0000 0.0000 0.1175
Sr2 0.0000 0.0000 0.2785
Br1 0.0000 0.0000 0.0000
N1 0.0000 0.0000 0.4193
# DOS at the Fermi energy = 1.6 states/eV/f.u.
# magnetization = 0.000 μB/atom

***

Version ii
# Sr4BrN2 (PBE-GGA, relaxed)
data_Sr4BrN2
_symmetry_space_group_name_H-M 'P 1'
_symmetry_Int_Tables_number 1
_cell_length_a 7.796
_cell_length_b 7.804
_cell_length_c 7.895
_cell_angle_alpha 65.39
_cell_angle_beta 65.56
_cell_angle_gamma 86.40
loop_
_symmetry_equiv_pos_as_xyz
'x,y,z'
loop_
_atom_site_label
_atom_site_fract_x
_atom_site_fract_y
_atom_site_fract_z
Sr1 0.000 0.000 0.000
Sr2 0.015 0.015 0.428
Sr3 0.064 0.589 0.376
Sr4 0.092 0.545 0.870
Sr5 0.426 0.951 0.053
Sr6 0.450 0.451 0.007
Sr7 0.470 0.922 0.559
Sr8 0.563 0.564 0.425
Br1 0.724 0.292 0.217
Br2 0.773 0.243 0.717
N1 0.218 0.216 0.045
N2 0.261 0.736 0.969
N3 0.278 0.754 0.460
N4 0.799 0.797 0.382
# DOS at the Fermi energy = 2.2 states/eV/f.u.
# magnetization = 0.117 μB/atom

***

Stability, lowest: version ii

***

Version i
# SrTeBrN2 (PBE-GGA, relaxed)
data_SrTeBrN2
_symmetry_space_group_name_H-M 'P 4/m m m'
_symmetry_Int_Tables_number 123
_symmetry_space_group_name_Hall '-P 4 2'
_cell_length_a 4.547
_cell_length_b 4.547
_cell_length_c 5.679
_cell_angle_alpha 90.00
_cell_angle_beta 90.00
_cell_angle_gamma 90.00
loop_
_atom_site_label
_atom_site_fract_x
_atom_site_fract_y
_atom_site_fract_z
Sr1 0.000 0.000 0.000
Te1 0.500 0.500 0.000
Br1 0.500 0.500 0.500
N1 0.000 0.500 0.500
# DOS at the Fermi energy = 2.6 states/eV/f.u.
# magnetization = 0.493 μB/atom

***

Version ii
# SrTeBrN2 (PBE-GGA, relaxed)
data_SrTeBrN2
_symmetry_space_group_name_H-M 'P 4/m m m'
_symmetry_Int_Tables_number 123
_symmetry_space_group_name_Hall '-P 4 2'
_cell_length_a 4.875
_cell_length_b 4.875
_cell_length_c 6.920
_cell_angle_alpha 90.00
_cell_angle_beta 90.00
_cell_angle_gamma 90.00
loop_
_atom_site_label
_atom_site_fract_x
_atom_site_fract_y
_atom_site_fract_z
Sr1 0.000 0.000 0.000
Te1 0.000 0.000 0.500
Br1 0.500 0.500 0.500
N1 0.000 0.500 0.000
# DOS at the Fermi energy = 2.3 states/eV/f.u.
# magnetization = 0.921 μB/atom

***

Stability, lowest: version i

***

Version i
# SrZnBrN2 (PBE-GGA, relaxed)
data_SrZnBrN2
_symmetry_space_group_name_H-M 'P 4/m m m'
_symmetry_Int_Tables_number 123
_symmetry_space_group_name_Hall '-P 4 2'
_cell_length_a 5.002
_cell_length_b 5.002
_cell_length_c 6.908
_cell_angle_alpha 90.00
_cell_angle_beta 90.00
_cell_angle_gamma 90.00
loop_
_atom_site_label
_atom_site_fract_x
_atom_site_fract_y
_atom_site_fract_z
Sr1 0.000 0.000 0.000
Zn1 0.000 0.000 0.500
Br1 0.500 0.500 0.500
N1 0.000 0.500 0.000
# DOS at the Fermi energy = 4.7 states/eV/f.u.
# magnetization = 0.943 μB/atom

***

Version ii
# SrZnBrN2 (PBE-GGA, relaxed)
data_SrZnBrN2
_symmetry_space_group_name_H-M 'P 4/m m m'
_symmetry_Int_Tables_number 123
_symmetry_space_group_name_Hall '-P 4 2'
_cell_length_a 4.542
_cell_length_b 4.542
_cell_length_c 4.535
_cell_angle_alpha 90.00
_cell_angle_beta 90.00
_cell_angle_gamma 90.00
loop_
_atom_site_label
_atom_site_fract_x
_atom_site_fract_y
_atom_site_fract_z
Sr1 0.000 0.000 0.000
Zn1 0.500 0.500 0.000
Br1 0.500 0.500 0.500
N1 0.000 0.500 0.500
# DOS at the Fermi energy = 1.7 states/eV/f.u.
# magnetization = 0.000 μB/atom

***

Stability, lowest: version ii

***

Version i
# Ta2BrN (PBE-GGA, relaxed)
data_Ta2BrN
_symmetry_space_group_name_H-M 'I -4 2 d'
_symmetry_Int_Tables_number 122
_symmetry_space_group_name_Hall 'I -4 2bw'
_cell_length_a 5.284
_cell_length_b 5.284
_cell_length_c 11.035
_cell_angle_alpha 90.00
_cell_angle_beta 90.00
_cell_angle_gamma 90.00
loop_
_atom_site_label
_atom_site_fract_x
_atom_site_fract_y
_atom_site_fract_z
Ta1 0.129 0.250 0.125
Br1 0.000 0.000 0.500
N1 0.000 0.000 0.000
# DOS at the Fermi energy = 3.7 states/eV/f.u.
# magnetization = 0.000 μB/atom

***

Version ii
# Ta2BrN (PBE-GGA, relaxed)
data_Ta2BrN
_symmetry_space_group_name_H-M 'F m -3 m'
_symmetry_Int_Tables_number 225
_symmetry_space_group_name_Hall '-F 4 2 3'
_cell_length_a 6.112
_cell_length_b 6.112
_cell_length_c 6.112
_cell_angle_alpha 90.00
_cell_angle_beta 90.00
_cell_angle_gamma 90.00
loop_
_atom_site_label
_atom_site_fract_x
_atom_site_fract_y
_atom_site_fract_z
Ta1 0.250 0.250 0.250
Br1 0.000 0.000 0.000
N1 0.000 0.000 0.500
# DOS at the Fermi energy = 3.8 states/eV/f.u.
# magnetization = 0.298 μB/atom

***

Stability, lowest: version ii